[1]
Compound: BaCoMo
Source: Alexandria
Functional: PBE
Structure: optimized geometry

Structure (CIF):
```
data_BaCoMo
_chemical_formula_sum 'Ba1 Co1 Mo1'
_space_group_name_H-M_alt 'P 3 m 1'
_space_group_IT_number 156
_space_group_name_Hall 'P 3 -2"'
_cell_length_a 3.9907
_cell_length_b 3.9907
_cell_length_c 5.4260
_cell_angle_alpha 90.00
_cell_angle_beta 90.00
_cell_angle_gamma 120.00
loop_
_atom_site_label
_atom_site_type_symbol
_atom_site_fract_x
_atom_site_fract_y
_atom_site_fract_z
Ba1 Ba 0.0000 0.0000 0.0000
Co1 Co 0.6667 0.3333 0.5224
Mo1 Mo 0.3333 0.6667 0.4909
```

Values from the calculation:
- E above lowest polymorph (eV per formula unit) = 0.00
- DOS at the Fermi energy (states/eV per cell) = 4.5
- DFT total energy (eV per atom) = -5.941
- calculated formation energy (eV per atom) = 0.68
- calculated density (Mg/m³) = 6.5

[2]
Compound: Nd2NpN
Source: Alexandria
Functional: PBE
Structure: optimized geometry

Structure (CIF):
```
data_Nd2NpN
_chemical_formula_sum 'Nd2 Np1 N1'
_space_group_name_H-M_alt 'P 4/m m m'
_space_group_IT_number 123
_space_group_name_Hall '-P 4 2'
_cell_length_a 5.019
_cell_length_b 5.019
_cell_length_c 3.446
_cell_angle_alpha 90.00
_cell_angle_beta 90.00
_cell_angle_gamma 90.00
loop_
_atom_site_label
_atom_site_type_symbol
_atom_site_fract_x
_atom_site_fract_y
_atom_site_fract_z
Nd1 Nd 0.000 0.500 0.000
Np1 Np 0.000 0.000 0.500
N1 N 0.500 0.500 0.500
```

Values from the calculation:
- E above lowest polymorph (eV per formula unit) = 3.88
- DOS at the Fermi energy (states/eV per cell) = 6.8
- DFT total energy (eV per atom) = -6.927
- energy relative to the elements, uncorrected (eV/atom) = 0.773
- calculated density (Mg/m³) = 10.3

[3]
Compound: RbGaS2O
Source: Alexandria
Functional: PBE
Structure: optimized geometry

Structure (CIF):
```
data_RbGaS2O
_chemical_formula_sum 'Rb1 Ga1 S2 O1'
_space_group_name_H-M_alt 'P 4/m m m'
_space_group_IT_number 123
_space_group_name_Hall '-P 4 2'
_cell_length_a 5.723
_cell_length_b 5.723
_cell_length_c 7.261
_cell_angle_alpha 90.00
_cell_angle_beta 90.00
_cell_angle_gamma 90.00
loop_
_atom_site_label
_atom_site_type_symbol
_atom_site_fract_x
_atom_site_fract_y
_atom_site_fract_z
Rb1 Rb 0.000 0.000 0.000
Ga1 Ga 0.000 0.000 0.500
S1 S 0.000 0.500 0.000
O1 O 0.500 0.500 0.500
```

Values from the calculation:
- DOS at the Fermi energy (states/eV per cell) = 25.8
- DFT total energy (eV per atom) = -2.110
- energy relative to the elements, uncorrected (eV/atom) = 1.332
- calculated density (Mg/m³) = 1.6